#A
This record from the Alexandria database describes a PBEsol-optimized structure of CsTe2H. The functional is meta-GGA SCAN.

Cell lengths 3.7264, 3.7264, 10.0161 Å; angles 79.28, 79.28, 60.00 degrees
Closest atoms and distances in Å follow each position.
Positions (direct):
H 0.0000 0.0000 0.0000  2 Te 1.94
Te 0.9339 0.9339 0.1984  1 H 1.94
Cs 0.5000 0.5000 0.5000  6 Te 3.65, 6 Cs 3.73
Te 0.0661 0.0661 0.8016  1 H 1.94

Computed properties:
**V**: 117.6 Å³/cell
**Magnetization**: 0.49 μB per formula unit

***

#B
This record from the Alexandria database describes a PBEsol-optimized structure of CsTe2H. The functional is meta-GGA SCAN.

Cell lengths 5.6512, 5.6512, 5.6512 Å; angles 60.00, 60.00, 60.00 degrees
Closest atoms and distances in Å follow each position.
Positions (direct):
H 0.0000 0.0000 0.0000  8 Te 3.46
Cs 0.5000 0.5000 0.5000  8 Te 3.46
Te 0.7500 0.7500 0.7500  4 H 3.46, 4 Cs 3.46
Te 0.2500 0.2500 0.2500  4 H 3.46, 4 Cs 3.46

Computed properties:
**V**: 127.6 Å³/cell
**Magnetization**: 3.25 μB per formula unit

***

What should be chosen as the most stable of them? Choose #A.

***

#A
This record from the Alexandria database describes a PBEsol-optimized structure of CsK3Hg. The functional is meta-GGA SCAN.

Cell lengths 8.2511, 8.2511, 8.2511 Å; angles 90.00, 90.00, 90.00 degrees
Closest atoms and distances in Å follow each position.
Positions (direct):
Hg 0.5000 0.5000 0.5000  12 K 5.83
K 0.0000 0.0000 0.5000  2 Cs 4.13
K 0.0000 0.5000 0.0000  2 Cs 4.13
Cs 0.0000 0.0000 0.0000  6 K 4.13
K 0.5000 0.0000 0.0000  2 Cs 4.13

Computed properties:
**V**: 561.7 Å³/cell
**Magnetization**: 0.02 μB per formula unit

***

#B
This record from the Alexandria database describes a PBEsol-optimized structure of CsK3Hg. The functional is meta-GGA SCAN.

Cell lengths 6.8217, 6.8217, 6.8217 Å; angles 90.00, 90.00, 90.00 degrees
Closest atoms and distances in Å follow each position.
Positions (direct):
K 0.0000 0.0000 0.5000  2 Hg 3.41
Hg 0.0000 0.0000 0.0000  6 K 3.41
K 0.0000 0.5000 0.0000  2 Hg 3.41
Cs 0.5000 0.5000 0.5000  12 K 4.82
K 0.5000 0.0000 0.0000  2 Hg 3.41

Computed properties:
**V**: 317.5 Å³/cell
**Magnetization**: 0.00 μB per formula unit

***

What should be chosen as the most stable of them? Choose #B.

***

#A
This record from the Alexandria database describes a PBEsol-optimized structure of Cs2KHg. The functional is meta-GGA SCAN.

Cell lengths 7.4009, 9.2889, 9.2889 Å; angles 80.87, 66.52, 66.52 degrees
Closest atoms and distances in Å follow each position.
Positions (direct):
Hg 0.7500 0.5000 0.5000  4 Cs 3.64, 2 K 3.70
K 0.2500 0.5000 0.5000  2 Hg 3.70
Cs 0.3750 0.5982 0.9018  2 Hg 3.64
Cs 0.8750 0.4018 0.0982  2 Hg 3.64
Cs 0.7232 0.9018 0.4018  2 Hg 3.64
Cs 0.0268 0.0982 0.5982  2 Hg 3.64
K 0.5000 0.0000 0.0000  2 Hg 3.70
Hg 0.0000 0.0000 0.0000  4 Cs 3.64, 2 K 3.70

Computed properties:
**V**: 537.2 Å³/cell
**Magnetization**: 0.46 μB per formula unit

***

#B
This record from the Alexandria database describes a PBEsol-optimized structure of Cs2KHg. The functional is meta-GGA SCAN.

Cell lengths 6.9743, 6.9743, 6.9743 Å; angles 60.00, 60.00, 60.00 degrees
Closest atoms and distances in Å follow each position.
Positions (direct):
K 0.0000 0.0000 0.0000  8 Cs 4.27
Hg 0.5000 0.5000 0.5000  8 Cs 4.27
Cs 0.2500 0.2500 0.2500  4 Hg 4.27, 4 K 4.27
Cs 0.7500 0.7500 0.7500  4 K 4.27, 4 Hg 4.27

Computed properties:
**V**: 239.9 Å³/cell
**Magnetization**: 0.61 μB per formula unit

***

What should be chosen as the most stable of them? Choose #A.